Entry 1:
Compound: YZnCd2
Source: Alexandria via LeMat-Bulk
Functional: PBE-GGA
Structure: optimized geometry

The calculated total energy is -2.63 eV per atom.

The space group is P4/mmm (No. 123) and the conventional cell measures 4.367, 4.367 and 4.763 Å, with angles of 90.00, 90.00 and 90.00 degrees. Symmetry generates all atoms from Y at (0.000, 0.000, 0.000), Zn at (0.500, 0.500, 0.000) and Cd at (0.000, 0.500, 0.500).

Entry 2:
Compound: YZn2Cd
Source: Alexandria via LeMat-Bulk
Functional: PBE-GGA
Structure: optimized geometry

The calculated total energy is -2.66 eV per atom.

The space group is Pmmm (No. 47) and the conventional cell measures 3.312, 4.635 and 5.680 Å, with angles of 90.00, 90.00 and 90.00 degrees. Symmetry generates all atoms from Y at (0.000, 0.000, 0.000), Zn at (0.500, 0.500, 0.235) and Cd at (0.500, 0.000, 0.500).

Entry 3:
Compound: Y5Zn4Cd
Source: Alexandria via LeMat-Bulk
Functional: PBE-GGA
Structure: optimized geometry

The calculated total energy is -4.19 eV per atom.

The space group is P4/mmm (No. 123) and the conventional cell measures 3.594, 3.594 and 18.292 Å, with angles of 90.00, 90.00 and 90.00 degrees. Symmetry generates all atoms from Y at (0.000, 0.000, 0.000), Y at (0.000, 0.000, 0.195), Y at (0.000, 0.000, 0.388), Zn at (0.500, 0.500, 0.097), Zn at (0.500, 0.500, 0.293) and Cd at (0.500, 0.500, 0.500).

Entry 4:
Compound: YZnCd2
Source: Alexandria via LeMat-Bulk
Functional: PBE-GGA
Structure: optimized geometry

The calculated total energy is -2.44 eV per atom.

The space group is C2/m (No. 12) and the conventional cell measures 6.012, 10.811 and 3.200 Å, with angles of 90.00, 116.17 and 90.00 degrees. Symmetry generates all atoms from Y at (0.000, 0.000, 0.000), Zn at (0.000, 0.500, 0.000) and Cd at (0.250, 0.250, 0.500).

Entry 5:
Compound: Y11Zn4Cd9
Source: Alexandria via LeMat-Bulk
Functional: PBE-GGA
Structure: optimized geometry

The calculated total energy is -3.86 eV per atom.

The space group is Cmmm (No. 65) and the conventional cell measures 14.581, 21.856 and 3.760 Å, with angles of 90.00, 90.00 and 90.00 degrees. Symmetry generates all atoms from Y at (0.000, 0.000, 0.000), Y at (0.000, 0.165, 0.000), Y at (0.000, 0.362, 0.000), Y at (0.210, 0.500, 0.000), Y at (0.244, 0.170, 0.000), Zn at (0.145, 0.404, 0.500), Cd at (0.000, 0.500, 0.500), Cd at (0.108, 0.261, 0.500) and Cd at (0.139, 0.074, 0.500).

Entry 6:
Compound: YZnCd2
Source: Alexandria via LeMat-Bulk
Functional: PBE-GGA
Structure: optimized geometry

The calculated total energy is -2.66 eV per atom.

The space group is F222 (No. 22) and the conventional cell measures 6.969, 7.031 and 7.048 Å, with angles of 90.00, 90.00 and 90.00 degrees. Symmetry generates all atoms from Y at (0.000, 0.000, 0.000), Zn at (0.250, 0.250, 0.250), Cd at (0.000, 0.000, 0.500) and Cd at (0.250, 0.250, 0.750).

Entry 7:
Compound: Y8Zn2Cd
Source: Alexandria via LeMat-Bulk
Functional: PBE-GGA
Structure: optimized geometry

The calculated total energy is -5.09 eV per atom.

The space group is Immm (No. 71) and the conventional cell measures 4.993, 8.378 and 14.720 Å, with angles of 90.00, 90.00 and 90.00 degrees. Symmetry generates all atoms from Y at (0.000, 0.000, 0.137), Y at (0.000, 0.217, 0.335), Y at (0.000, 0.316, 0.000), Zn at (0.000, 0.500, 0.196) and Cd at (0.000, 0.500, 0.500).

Entry 8:
Compound: Y2ZnCd
Source: Alexandria via LeMat-Bulk
Functional: PBE-GGA
Structure: optimized geometry

The energy above the lowest structure with this stoichiometry is 217 meV per atom. The calculated total energy is -3.92 eV per atom.

The space group is P2/m (No. 10) and the conventional cell measures 5.122, 3.681 and 6.248 Å, with angles of 90.00, 113.48 and 90.00 degrees. Symmetry generates all atoms from Y at (0.000, 0.000, 0.000), Y at (0.000, 0.500, 0.500), Zn at (0.500, 0.000, 0.500) and Cd at (0.500, 0.500, 0.000).

Entry 9:
Compound: Y2Zn6Cd
Source: Alexandria via LeMat-Bulk
Functional: PBE-GGA
Structure: optimized geometry

The calculated total energy is -2.67 eV per atom.

The space group is P-3m1 (No. 164) and the conventional cell measures 5.7630, 5.7630 and 5.9614 Å, with angles of 90.00, 90.00 and 120.00 degrees. Symmetry generates all atoms from Y at (0.3333, 0.6667, 0.3541), Zn at (0.1805, 0.3611, 0.8453) and Cd at (0.0000, 0.0000, 0.5000).

Entry 10:
Compound: YZn6Cd2
Source: Alexandria via LeMat-Bulk
Functional: PBE-GGA
Structure: optimized geometry

The calculated total energy is -1.85 eV per atom.

The space group is Immm (No. 71) and the conventional cell measures 3.508, 7.454 and 13.176 Å, with angles of 90.00, 90.00 and 90.00 degrees. Symmetry generates all atoms from Y at (0.000, 0.000, 0.000), Zn at (0.000, 0.173, 0.500), Zn at (0.000, 0.320, 0.323) and Cd at (0.000, 0.500, 0.139).

Entry 11:
Compound: YZn2Cd3
Source: Alexandria via LeMat-Bulk
Functional: PBE-GGA
Structure: optimized geometry

The calculated total energy is -2.16 eV per atom.

The space group is C2/m (No. 12) and the conventional cell measures 16.416, 4.542 and 7.270 Å, with angles of 90.00, 110.93 and 90.00 degrees. Symmetry generates all atoms from Y at (0.118, 0.000, 0.184), Zn at (0.016, 0.500, 0.845), Zn at (0.237, 0.000, 0.659), Cd at (0.068, 0.000, 0.701), Cd at (0.129, 0.500, 0.502) and Cd at (0.194, 0.500, 0.934).

Entry 12:
Compound: Y2ZnCd
Source: Alexandria via LeMat-Bulk
Functional: PBE-GGA
Structure: optimized geometry

The energy above the lowest structure with this stoichiometry is 21 meV per atom. The calculated total energy is -4.12 eV per atom.

The space group is Fm-3m (No. 225) and the conventional cell measures 7.348, 7.348 and 7.348 Å, with angles of 90.00, 90.00 and 90.00 degrees. Symmetry generates all atoms from Y at (0.250, 0.250, 0.250), Zn at (0.000, 0.000, 0.000) and Cd at (0.000, 0.000, 0.500).

| no. | DFT formation energy (kJ/mol of formula units) | Fermi-level density of states (states/eV per cell) |
| --- | --- | --- |
| 1 | -92 | 2.233 |
| 2 | -70 | 2.952 |
| 3 | -347 | 10.993 |
| 4 | -18 | 6.292 |
| 5 | -788 | 44.934 |
| 6 | -104 | 7.128 |
| 7 | -82 | 31.044 |
| 8 | -55 | 4.793 |
| 9 | -245 | 4.438 |
| 10 | -70 | 6.922 |
| 11 | -118 | 9.958 |
| 12 | -130 | 21.955 |